VASP calculation (PBE) on an optimized crystal structure of La4Sm3Sc.

The structure in CIF format:
```
data_La4Sm3Sc
_space_group_name_H-M_alt 'P 1'
_space_group_IT_number 1
_space_group_name_Hall 'P 1'
_cell_length_a 7.5401
_cell_length_b 7.5401
_cell_length_c 5.9128
_cell_angle_alpha 90.00
_cell_angle_beta 90.00
_cell_angle_gamma 125.11
loop_
_atom_site_label
_atom_site_type_symbol
_atom_site_fract_x
_atom_site_fract_y
_atom_site_fract_z
La1 La 0.2196 0.2196 0.5000
La2 La 0.2423 0.7577 0.0000
La3 La 0.7577 0.2423 0.0000
La4 La 0.7804 0.7804 0.5000
Sm1 Sm 0.0000 0.5000 0.5000
Sm2 Sm 0.5000 0.0000 0.5000
Sm3 Sm 0.5000 0.5000 0.0000
Sc1 Sc 0.0000 0.0000 0.0000
```

size of the total moment	0.00	μB per cell
ΔE to the lowest computed polymorph	12.8	kJ per mole of atoms
density	6.350	g/cm3
DFT formation energy	0.3479	eV per atom
total energy	-37.4	eV/cell